1.
{
  "formula": "Sr3LiBiO6",
  "functional": "meta-GGA SCAN",
  "state": "single point on PBEsol structure",
  "lattice": [[-3.3169, -4.4731, -4.0122], [6.0736, -3.0185, -1.1848], [-1.1284, -3.7939, 5.6336]],
  "species": ["Sr", "Sr", "Sr", "Sr", "Sr", "Sr", "Li", "Li", "Bi", "Bi", "O", "O", "O", "O", "O", "O", "O", "O", "O", "O", "O", "O"],
  "frac_coords": [[0.6064, 0.7462, 0.8968], [0.8983, 0.1008, 0.2514], [0.2523, 0.3990, 0.5985], [0.1064, 0.8968, 0.7462], [0.7523, 0.5985, 0.3990], [0.3983, 0.2514, 0.1008], [0.2520, 0.7713, 0.2266], [0.7520, 0.2266, 0.7713], [0.5024, 0.9988, 0.4988], [0.0024, 0.4988, 0.9988], [0.5445, 0.9145, 0.2043], [0.2077, 0.0442, 0.4198], [0.4275, 0.7067, 0.5572], [0.0445, 0.2043, 0.9145], [0.9275, 0.5572, 0.7067], [0.7077, 0.4198, 0.0442], [0.4605, 0.0833, 0.7933], [0.7971, 0.9534, 0.5778], [0.5770, 0.2910, 0.4404], [0.9605, 0.7933, 0.0833], [0.0770, 0.4404, 0.2910], [0.2971, 0.5778, 0.9534]],
  "mass_density_g_cm3": 5.882,
  "dft_energy_ev_per_cell": -421.42,
  "formation_energy_uncorrected_mev_per_atom": -2321
}

2.
{
  "formula": "LiTi2BiO6",
  "functional": "meta-GGA SCAN",
  "state": "single point on PBEsol structure",
  "lattice": [[5.3610, 0.0000, 0.0000], [2.6805, 4.6428, 0.0000], [2.6805, 1.5476, 4.5302]],
  "species": ["Li", "Bi", "O", "O", "O", "O", "O", "O", "Ti", "Ti"],
  "frac_coords": [[0.3004, 0.3004, 0.0987], [0.7810, 0.7810, 0.6570], [0.7350, 0.1809, 0.7681], [0.1809, 0.3160, 0.7681], [0.3160, 0.7350, 0.7681], [0.6588, 0.2318, 0.2726], [0.8368, 0.6588, 0.2726], [0.2318, 0.8368, 0.2726], [0.0116, 0.0116, 0.9652], [0.5134, 0.5134, 0.4599]],
  "mass_density_g_cm3": 6.003,
  "dft_energy_ev_per_cell": -176.55,
  "formation_energy_uncorrected_mev_per_atom": -2613
}

3.
{
  "formula": "LiReBiOs2",
  "functional": "meta-GGA SCAN",
  "state": "single point on PBEsol structure",
  "lattice": [[4.2458, 0.0000, 0.0000], [0.0000, 4.2458, 0.0000], [0.0000, 0.0000, 4.2536]],
  "species": ["Re", "Os", "Os", "Bi", "Li"],
  "frac_coords": [[0.0000, 0.0000, 0.5000], [0.0000, 0.5000, 0.0000], [0.5000, 0.0000, 0.0000], [0.5000, 0.5000, 0.5000], [0.0000, 0.0000, 0.0000]],
  "mass_density_g_cm3": 16.948,
  "dft_energy_ev_per_cell": -287.64
}

4.
{
  "formula": "LiTa2BiOs",
  "functional": "meta-GGA SCAN",
  "state": "single point on PBEsol structure",
  "lattice": [[-1.5602, 3.9113, 0.7809], [-3.5658, -1.8123, 1.9532], [2.1142, 0.0614, 3.9167]],
  "species": ["Li", "Os", "Bi", "Ta", "Ta"],
  "frac_coords": [[0.0000, 0.0000, 0.0000], [0.5000, 0.0000, 0.0000], [0.5000, 0.5000, 0.5000], [0.0000, 0.0000, 0.5000], [0.0000, 0.5000, 0.0000]],
  "mass_density_g_cm3": 15.029,
  "dft_energy_ev_per_cell": -280.01
}

5.
{
  "formula": "Li3BiP",
  "functional": "meta-GGA SCAN",
  "state": "single point on PBEsol structure",
  "lattice": [[4.6192, 0.0000, 0.0000], [0.0000, 4.6192, 0.0000], [0.0000, 0.0000, 4.6192]],
  "species": ["P", "Bi", "Li", "Li", "Li"],
  "frac_coords": [[0.0000, 0.0000, 0.0000], [0.5000, 0.5000, 0.5000], [0.0000, 0.5000, 0.0000], [0.0000, 0.0000, 0.5000], [0.5000, 0.0000, 0.0000]],
  "mass_density_g_cm3": 4.393,
  "dft_energy_ev_per_cell": -97.44
}

6.
{
  "formula": "Li2BiPb2",
  "functional": "meta-GGA SCAN",
  "state": "single point on PBEsol structure",
  "lattice": [[-1.1080, -1.4721, -4.0356], [3.7718, -2.3281, -0.1864], [-4.3050, -3.1290, 4.7618]],
  "species": ["Pb", "Pb", "Bi", "Li", "Li"],
  "frac_coords": [[0.3882, 0.3882, 0.7764], [0.6118, 0.6118, 0.2236], [0.0000, 0.0000, 0.0000], [0.2500, 0.7500, 0.5000], [0.7500, 0.2500, 0.5000]],
  "relative_energy_ev_per_fu": 0.79,
  "mass_density_g_cm3": 8.381,
  "dft_energy_ev_per_cell": -235.40
}

7.
{
  "formula": "Li2BiPb2",
  "functional": "meta-GGA SCAN",
  "state": "single point on PBEsol structure",
  "lattice": [[4.3679, 0.0000, 0.0000], [0.0000, 7.3855, 0.0000], [0.0000, 0.0000, 7.3855]],
  "species": ["Pb", "Pb", "Pb", "Pb", "Bi", "Bi", "Li", "Li", "Li", "Li"],
  "frac_coords": [[0.5000, 0.1661, 0.6661], [0.5000, 0.6661, 0.8339], [0.5000, 0.8339, 0.3339], [0.5000, 0.3339, 0.1661], [0.0000, 0.0000, 0.0000], [0.0000, 0.5000, 0.5000], [0.0000, 0.3622, 0.8622], [0.0000, 0.8622, 0.6378], [0.0000, 0.6378, 0.1378], [0.0000, 0.1378, 0.3622]],
  "relative_energy_ev_per_fu": 0.00,
  "mass_density_g_cm3": 8.883,
  "dft_energy_ev_per_cell": -472.38
}

8.
{
  "formula": "LiBi2PdPb",
  "functional": "meta-GGA SCAN",
  "state": "single point on PBEsol structure",
  "lattice": [[4.7921, 0.0000, 0.0000], [0.0000, 5.7457, 0.0000], [0.0000, 0.0000, 5.7457]],
  "species": ["Pb", "Bi", "Bi", "Pd", "Li"],
  "frac_coords": [[0.0000, 0.0000, 0.0000], [0.0000, 0.0000, 0.5000], [0.0000, 0.5000, 0.0000], [0.5000, 0.5000, 0.5000], [0.5000, 0.0000, 0.0000]],
  "mass_density_g_cm3": 7.752,
  "dft_energy_ev_per_cell": -264.11
}

9.
{
  "formula": "LiBi2Pd2",
  "functional": "meta-GGA SCAN",
  "state": "single point on PBEsol structure",
  "lattice": [[-1.6457, 1.4066, -2.9885], [3.6502, -4.9033, -4.3180], [-5.6168, -4.8817, 0.7953]],
  "species": ["Bi", "Bi", "Bi", "Bi", "Pd", "Pd", "Pd", "Pd", "Li", "Li"],
  "frac_coords": [[0.5000, 0.1671, 0.6671], [0.5000, 0.6671, 0.8329], [0.5000, 0.8329, 0.3329], [0.5000, 0.3329, 0.1671], [0.0000, 0.3669, 0.8669], [0.0000, 0.8669, 0.6331], [0.0000, 0.6331, 0.1331], [0.0000, 0.1331, 0.3669], [0.0000, 0.0000, 0.0000], [0.0000, 0.5000, 0.5000]],
  "mass_density_g_cm3": 10.247,
  "dft_energy_ev_per_cell": -453.30
}

10.
{
  "formula": "LiBiPt2",
  "functional": "meta-GGA SCAN",
  "state": "single point on PBEsol structure",
  "lattice": [[-0.0560, -3.4431, -1.9709], [-1.0920, -1.8816, 3.3181], [-8.2258, 4.0218, -2.7987]],
  "species": ["Bi", "Bi", "Pt", "Pt", "Pt", "Pt", "Li", "Li"],
  "frac_coords": [[0.2500, 0.7500, 0.5000], [0.0000, 0.0000, 0.0000], [0.3938, 0.8750, 0.2500], [0.8562, 0.3750, 0.2500], [0.1250, 0.1438, 0.7500], [0.6250, 0.6062, 0.7500], [0.7500, 0.2500, 0.5000], [0.5000, 0.5000, 0.0000]],
  "mass_density_g_cm3": 13.967,
  "dft_energy_ev_per_cell": -443.88
}

11.
{
  "formula": "LiReBiRh2",
  "functional": "meta-GGA SCAN",
  "state": "single point on PBEsol structure",
  "lattice": [[-2.6131, -1.2935, 2.9071], [2.8028, -2.7165, 1.3106], [1.6413, 3.0627, 2.8380]],
  "species": ["Re", "Rh", "Rh", "Bi", "Li"],
  "frac_coords": [[0.5000, 0.5000, 0.5000], [0.0000, 0.5000, 0.0000], [0.5000, 0.0000, 0.0000], [0.0000, 0.0000, 0.5000], [0.0000, 0.0000, 0.0000]],
  "mass_density_g_cm3": 13.273,
  "dft_energy_ev_per_cell": -214.32
}

12.
{
  "formula": "LiBi3Rh",
  "functional": "meta-GGA SCAN",
  "state": "single point on PBEsol structure",
  "lattice": [[-1.2258, 3.2088, 3.5118], [-4.5352, -1.8828, 0.1373], [1.4357, -3.2079, 3.4322]],
  "species": ["Rh", "Bi", "Bi", "Bi", "Li"],
  "frac_coords": [[0.5000, 0.5000, 0.5000], [0.0000, 0.5000, 0.0000], [0.0000, 0.0000, 0.5000], [0.5000, 0.0000, 0.0000], [0.0000, 0.0000, 0.0000]],
  "mass_density_g_cm3": 10.321,
  "dft_energy_ev_per_cell": -268.67
}